Compound: DyTcAsO
Source: OQMD
Functional: PBE
Structure: relaxed

Output
* electronic total energy: -7.9275 eV per atom
* crystal system: tetragonal

abc: 3.950 3.950 8.521
angles: 90.00 90.00 90.00
Space group P4/nmm (No. 129, origin choice 2)
Inequivalent atoms, fractional coordinates:
Dy1 0.250 0.250 0.128
Tc1 0.250 0.750 0.500
As1 0.250 0.250 0.680
O1 0.250 0.750 0.000